(1)
The following is a GGA-PBE calculation of a relaxed structure of Tc2PtSe4, from OQMD.

## Properties
**Electronic total energy**: -41.485 eV per formula unit

Cell lengths 7.425, 7.425, 7.425 Å; angles 60.00, 60.00, 60.00 degrees
Positions (direct):
Pt1 0.500 0.500 0.500
Pt2 0.750 0.750 0.750
Se1 0.883 0.883 0.351
Se2 0.899 0.367 0.367
Se3 0.367 0.899 0.367
Se4 0.367 0.367 0.367
Se5 0.883 0.351 0.883
Se6 0.883 0.883 0.883
Se7 0.351 0.883 0.883
Se8 0.367 0.367 0.899
Tc1 0.625 0.125 0.125
Tc2 0.125 0.625 0.125
Tc3 0.125 0.125 0.125
Tc4 0.125 0.125 0.625

(2)
The following is a GGA-PBE calculation of a relaxed structure of Nb3BP, from OQMD.

## Properties
**Electronic total energy**: -45.965 eV per formula unit

Cell lengths 5.524, 5.524, 8.296 Å; angles 90.00, 90.00, 144.35 degrees
Positions (direct):
B1 0.000 0.000 0.000
B2 0.000 0.000 0.500
Nb1 0.362 0.638 0.062
Nb2 0.071 0.929 0.250
Nb3 0.362 0.638 0.438
Nb4 0.638 0.362 0.562
Nb5 0.929 0.071 0.750
Nb6 0.638 0.362 0.938
P1 0.746 0.254 0.250
P2 0.254 0.746 0.750

(3)
The following is a GGA-PBE calculation of a relaxed structure of ZnPbSO, from OQMD.

## Properties
**Excess energy over the best structure of this formula in the dataset**: 0.103 eV per atom

Cell lengths 6.087, 7.017, 8.632 Å; angles 90.00, 90.00, 90.00 degrees
Positions (direct):
O1 0.635 0.626 0.242
O2 0.135 0.374 0.258
O3 0.365 0.874 0.742
O4 0.865 0.126 0.758
Pb1 0.815 0.387 0.128
Pb2 0.315 0.613 0.372
Pb3 0.185 0.113 0.628
Pb4 0.685 0.887 0.872
S1 0.125 0.859 0.160
S2 0.625 0.141 0.340
S3 0.875 0.641 0.660
S4 0.375 0.359 0.840
Zn1 0.276 0.135 0.240
Zn2 0.776 0.865 0.260
Zn3 0.724 0.365 0.740
Zn4 0.224 0.635 0.760

(4)
The following is a GGA-PBE calculation of a relaxed structure of PrAlNO, from OQMD.

## Properties
**Excess energy over the best structure of this formula in the dataset**: 0.203 eV per atom

Cell lengths 3.846, 3.846, 8.989 Å; angles 90.00, 90.00, 90.00 degrees
Positions (direct):
Al1 0.750 0.250 0.500
Al2 0.250 0.750 0.500
N1 0.250 0.250 0.447
N2 0.750 0.750 0.553
O1 0.750 0.250 0.000
O2 0.250 0.750 0.000
Pr1 0.250 0.250 0.142
Pr2 0.750 0.750 0.858

Repeat the second record exactly.
The following is a GGA-PBE calculation of a relaxed structure of Nb3BP, from OQMD.

## Properties
**Electronic total energy**: -45.965 eV per formula unit

Cell lengths 5.524, 5.524, 8.296 Å; angles 90.00, 90.00, 144.35 degrees
Positions (direct):
B1 0.000 0.000 0.000
B2 0.000 0.000 0.500
Nb1 0.362 0.638 0.062
Nb2 0.071 0.929 0.250
Nb3 0.362 0.638 0.438
Nb4 0.638 0.362 0.562
Nb5 0.929 0.071 0.750
Nb6 0.638 0.362 0.938
P1 0.746 0.254 0.250
P2 0.254 0.746 0.750